Computed, not measured: an optimized crystal structure of CuNi2Ir at the PBE level of DFT.

Structure (POSCAR):
```
CuNi2Ir
1.0
-1.7434 -3.6966 -0.4594
0.6969 -2.9607 2.7684
-3.0066 -1.1861 2.5435
Ni Cu Ir
2 1 1
direct
0.0000 0.0000 0.0000 Ni
0.7500 0.7500 0.7500 Ni
0.5000 0.5000 0.5000 Cu
0.2500 0.2500 0.2500 Ir
```

As for the formation energy: 66 kJ/mol of formula units. Its density of states at the Fermi level is 0.828 states/eV/atom. The density comes out at 12.60 g cm⁻³. The space group is No. 216.